No. 1
{
  "formula": "Y4CoSbC2",
  "functional": "PBE-GGA",
  "state": "optimized geometry",
  "final_energy_ev_per_atom": -7.250,
  "lattice": [[3.622, 0.000, 0.000], [-1.811, 3.137, 0.000], [0.000, 0.000, 14.478]],
  "species": ["Y", "Y", "Y", "Y", "Co", "Sb", "C", "C"],
  "frac_coords": [[0.000, 0.000, 0.137], [0.000, 0.000, 0.863], [0.667, 0.333, 0.324], [0.667, 0.333, 0.676], [0.667, 0.333, 0.000], [0.000, 0.000, 0.500], [0.333, 0.667, 0.236], [0.333, 0.667, 0.764]]
}

No. 2
{
  "formula": "Sc4CoC3",
  "functional": "PBE-GGA",
  "state": "optimized geometry",
  "final_energy_ev_per_atom": -7.674,
  "lattice": [[3.265, 0.000, 0.000], [-1.632, 2.828, 0.000], [0.000, 0.000, 24.278]],
  "species": ["Sc", "Sc", "Sc", "Sc", "Sc", "Sc", "Sc", "Sc", "Co", "Co", "C", "C", "C", "C", "C", "C"],
  "frac_coords": [[0.000, 0.000, 0.165], [0.000, 0.000, 0.335], [0.000, 0.000, 0.665], [0.000, 0.000, 0.835], [0.333, 0.667, 0.057], [0.333, 0.667, 0.443], [0.667, 0.333, 0.557], [0.667, 0.333, 0.943], [0.333, 0.667, 0.250], [0.667, 0.333, 0.750], [0.000, 0.000, 0.000], [0.000, 0.000, 0.500], [0.333, 0.667, 0.616], [0.333, 0.667, 0.884], [0.667, 0.333, 0.116], [0.667, 0.333, 0.384]]
}